Entry from the Alexandria database: a geometry-optimized ZnCuCl structure (PBE-GGA).

```
ZnCuCl
1.0
10.866 0.000 0.000
0.000 1.614 2.946
0.000 -1.614 2.946
Zn Cu Cl
2 2 2
Direct
0.154 0.000 0.000 Zn
0.846 0.000 0.000 Zn
0.000 0.678 0.678 Cu
0.500 0.736 0.736 Cu
0.349 0.433 0.433 Cl
0.651 0.433 0.433 Cl
```

Results
Density = 5.28 Mg/m³
Formation energy from raw total energies = -112.7 meV/atom
Symmetry = Amm2